A:
This record from Alexandria describes a relaxed PmHo3Sc2 crystal. The functional is PBE.

Unit cell a=3.3916 b=9.8842 c=11.4188 alpha=107.75 beta=98.54 gamma=90.00
Fractional positions:
Ho (0.4400, 0.5637, 0.8800)
Ho (0.9328, 0.2308, 0.8656)
Sc (0.9301, 0.8588, 0.8602)
Ho (0.0672, 0.7692, 0.1344)
Pm (0.6827, 0.0454, 0.3654)
Sc (0.6920, 0.3744, 0.3839)
Sc (0.0699, 0.1412, 0.1398)
Ho (0.5600, 0.4363, 0.1200)
Ho (0.6971, 0.7082, 0.3941)
Pm (0.3173, 0.9546, 0.6346)
Sc (0.3080, 0.6256, 0.6161)
Ho (0.3029, 0.2918, 0.6059)

Output
Its crystal system is monoclinic.

***

B:
This record from Alexandria describes a relaxed PmHo3Sc2 crystal. The functional is PBE.

Unit cell a=5.4502 b=8.6245 c=8.6245 alpha=111.58 beta=90.00 gamma=90.00
Fractional positions:
Sc (0.9929, 0.5145, 0.3007)
Ho (0.4930, 0.1096, 0.6308)
Ho (0.9931, 0.0948, 0.0948)
Ho (0.4930, 0.6308, 0.1096)
Sc (0.4929, 0.6993, 0.4855)
Ho (0.9930, 0.3692, 0.8904)
Pm (0.4930, 0.2702, 0.2702)
Sc (0.9929, 0.3007, 0.5145)
Ho (0.4931, 0.9052, 0.9052)
Sc (0.4929, 0.4855, 0.6993)
Pm (0.9930, 0.7298, 0.7298)
Ho (0.9930, 0.8904, 0.3692)

Output
Its crystal system is orthorhombic.

***

Most stable = A